Entry 1:
A plane-wave DFT calculation with PBE was carried out for crystalline La6Y2Tm at its relaxed geometry.

Unit cell a=3.6622 b=3.6622 c=27.5871 alpha=90.00 beta=90.00 gamma=120.00
Element x y z (fractional)
Y: 0.6667 0.3333 0.6713
Y: 0.6667 0.3333 0.3287
La: 0.6667 0.3333 0.8958
La: 0.3333 0.6667 0.5659
La: 0.3333 0.6667 0.4341
La: 0.3333 0.6667 0.7788
La: 0.6667 0.3333 0.1042
La: 0.3333 0.6667 0.2212
Tm: 0.3333 0.6667 0.0000

energy of formation = 55.4 meV per atom
distance to the lowest polymorph of the same formula = 0.0000 eV/atom
total magnetic moment = 0.0 Bohr magnetons per cell

Entry 2:
A plane-wave DFT calculation with PBE was carried out for crystalline DyHo2Th at its relaxed geometry.

Unit cell a=3.5443 b=3.5443 c=10.0544 alpha=90.00 beta=90.00 gamma=90.00
Element x y z (fractional)
Dy: 0.5000 0.5000 0.5000
Th: 0.5000 0.5000 0.0000
Ho: 0.0000 0.0000 0.2457
Ho: 0.0000 0.0000 0.7543

energy of formation = 25.4 meV per atom
distance to the lowest polymorph of the same formula = 0.0197 eV/atom
total magnetic moment = 0.0 Bohr magnetons per cell